Material: YIrRh
Method: DFT, GGA-PBE
State: optimized geometry

Computed properties:
Offset from the most stable computed form   0.687 eV/atom
ΔE_f   -82 meV per atom
Calculated volume   21.1 Å³ per atom

abc: 6.323 6.323 6.323
angles: 90.00 90.00 90.00
Space group F-43m (No. 216)
Inequivalent atoms, fractional coordinates:
Y  0.000  0.000  0.000 x4
Ir  0.000  0.000  0.500 x4
Rh  0.250  0.250  0.250 x4

=====

Material: In2NiB2Rh5
Method: DFT, GGA-PBE
State: optimized geometry

Computed properties:
ΔE_f   -261 meV per atom
Calculated volume   13.5 Å³ per atom

abc: 9.583 9.583 2.935
angles: 90.00 90.00 90.00
Space group P4/mbm (No. 127)
Inequivalent atoms, fractional coordinates:
In  0.179  0.321  0.000 x4
Ni  0.000  0.000  0.000 x2
B  0.127  0.627  0.000 x4
Rh  0.000  0.500  0.500 x2
Rh  0.068  0.782  0.500 x8

=====

Material: Li2Ga2HgI6
Method: DFT, GGA-PBE
State: optimized geometry

Computed properties:
Calculated volume   42.2 Å³ per atom
Raw formation energy   -65.5 kJ per mole of atoms

abc: 7.062 7.124 10.130
angles: 98.49 96.49 110.63
Space group P-1 (No. 2)
Inequivalent atoms, fractional coordinates:
Li  0.121  0.124  0.339 x2
Ga  0.300  0.603  0.813 x2
Hg  0.500  0.500  0.000 x1
I  0.002  0.731  0.881 x2
I  0.083  0.273  0.609 x2
I  0.499  0.893  0.687 x2

=====

Material: Si3AgS
Method: DFT, GGA-PBE
State: optimized geometry

Computed properties:
Offset from the most stable computed form   0.000 eV/atom
Calculated volume   18.9 Å³ per atom
Raw formation energy   84.1 kJ per mole of atoms

abc: 4.558 4.558 4.558
angles: 90.00 90.00 90.00
Space group Pm-3m (No. 221)
Inequivalent atoms, fractional coordinates:
Si  0.000  0.000  0.500 x3
Ag  0.500  0.500  0.500 x1
S  0.000  0.000  0.000 x1

=====

Material: AcDy6Te8
Method: DFT, GGA-PBE
State: optimized geometry

Computed properties:
Calculated volume   32.9 Å³ per atom
Raw formation energy   -115.8 kJ per mole of atoms

abc: 10.0421 10.0421 16.9626
angles: 90.00 90.00 120.00
Space group R-3 (No. 148, hexagonal axes)
Inequivalent atoms, fractional coordinates:
Ac  0.0000  0.0000  0.0000 x3
Dy  0.0328  0.7858  0.4086 x18
Te  0.0000  0.0000  0.2888 x6
Te  0.0142  0.2963  0.0909 x18

=====

Material: HgIr3
Method: DFT, GGA-PBE
State: optimized geometry

Computed properties:
ΔE_f   727 meV per atom
Calculated volume   16.2 Å³ per atom

abc: 6.375 6.375 6.375
angles: 90.00 90.00 90.00
Space group Fm-3m (No. 225)
Inequivalent atoms, fractional coordinates:
Hg  0.000  0.000  0.000 x4
Ir  0.000  0.000  0.500 x4
Ir  0.250  0.250  0.250 x8

=====

| no. | energy (eV/cell) |
| --- | --- |
| 1 | -91.69 |
| 2 | -127.97 |
| 3 | -26.95 |
| 4 | -18.89 |
| 5 | -224.56 |
| 6 | -95.91 |